No. 1
{"formula": "PrNd2Cu", "functional": "PBE", "state": "optimized geometry", "sg": "P4/mmm", "cell": [[3.6444, 0.0000, 0.0000], [0.0000, 3.6444, 0.0000], [0.0000, 0.0000, 8.8863]], "species": ["Pr", "Nd", "Nd", "Cu"], "frac_coords": [[0.0000, 0.0000, 0.0000], [0.5000, 0.5000, 0.3052], [0.5000, 0.5000, 0.6948], [0.0000, 0.0000, 0.5000]]}


No. 2
{"formula": "ZnCBr2", "functional": "PBE", "state": "optimized geometry", "raw_formation_energy_mev_per_atom": 1233, "sg": "R-3m", "cell": [[1.9401, 1.1201, 7.8675], [-1.9401, 1.1201, 7.8675], [0.0000, -2.2402, 7.8675]], "species": ["Zn", "C", "Br", "Br"], "frac_coords": [[0.0000, 0.0000, 0.0000], [0.5000, 0.5000, 0.5000], [0.3963, 0.3963, 0.3963], [0.6037, 0.6037, 0.6037]]}


Energy relative to the lowest polymorph listed for this composition / eV/f.u.: 0.01; 0.44